Below is a relaxed Li2ThScS4 crystal, with properties calculated at the PBE level.

CIF file:
```
data_Li2ThScS4
_symmetry_space_group_name_H-M 'P 1 2/m 1'
_symmetry_Int_Tables_number 10
_symmetry_space_group_name_Hall '-P 2y'
_cell_length_a 6.5969
_cell_length_b 3.8441
_cell_length_c 6.6561
_cell_angle_alpha 90.00
_cell_angle_beta 109.45
_cell_angle_gamma 90.00
loop_
_atom_site_label
_atom_site_fract_x
_atom_site_fract_y
_atom_site_fract_z
_atom_site_occupancy
Li1 0.0000 0.0000 0.0000 1
Li2 0.0000 0.5000 0.5000 1
Th1 0.5000 0.0000 0.5000 1
Sc1 0.5000 0.5000 0.0000 1
S1 0.2382 0.5000 0.2292 1
S2 0.2532 0.0000 0.7655 1
```

Calculated values
formation energy (no corrections) = -1.68 eV/atom
crystal system = monoclinic
DOS(E_F) = 0.435 states/eV/atom
total magnetization = 0.00 μB/f.u.